Computed, not measured: a relaxed BaCa2Sc crystal at the PBE level of DFT.

Cell lengths 4.131, 4.131, 9.509 Å; angles 90.00, 90.00, 90.00 degrees
Positions (direct):
Sc 0.000 0.000 0.469
Ca 0.000 0.000 0.032
Ca 0.500 0.500 0.281
Ba 0.500 0.500 0.718

Output
Its energy of formation from the pure elements is 0.200 eV per atom. For the energy above the most stable polymorph in this dataset, the calculation gives 21 meV per atom.

Computed, not measured: a relaxed BeMoPt2 crystal at the PBE level of DFT.

Cell lengths 2.762, 3.689, 5.670 Å; angles 90.00, 90.00, 90.00 degrees
Positions (direct):
Be 0.000 0.000 0.445
Mo 0.500 0.500 0.761
Pt 0.000 0.000 0.990
Pt 0.500 0.500 0.305

Output
Its energy of formation from the pure elements is -0.227 eV per atom.

Computed, not measured: a relaxed Er12Tm7Mg crystal at the PBE level of DFT.

Cell lengths 8.565, 8.565, 8.565 Å; angles 86.51, 86.51, 86.51 degrees
Positions (direct):
Er 0.855 0.249 0.737
Er 0.751 0.263 0.145
Er 0.617 0.137 0.497
Er 0.863 0.503 0.383
Er 0.263 0.145 0.751
Er 0.503 0.383 0.863
Er 0.497 0.617 0.137
Er 0.737 0.855 0.249
Er 0.137 0.497 0.617
Er 0.383 0.863 0.503
Er 0.249 0.737 0.855
Er 0.145 0.751 0.263
Tm 0.849 0.603 0.927
Tm 0.397 0.073 0.151
Tm 0.073 0.151 0.397
Tm 0.500 0.500 0.500
Tm 0.927 0.849 0.603
Tm 0.603 0.927 0.849
Tm 0.151 0.397 0.073
Mg 0.000 0.000 0.000

Output
Its energy of formation from the pure elements is 0.222 eV per atom. For the energy above the most stable polymorph in this dataset, the calculation gives 0 meV per atom.

Computed, not measured: a relaxed NiPdSCl2 crystal at the PBE level of DFT.

Cell lengths 4.556, 4.556, 4.539 Å; angles 90.00, 90.00, 90.00 degrees
Positions (direct):
Ni 0.000 0.000 0.000
S 0.000 0.000 0.500
Pd 0.500 0.500 0.500
Cl 0.000 0.500 0.000
Cl 0.500 0.000 0.000

Output
For the energy above the most stable polymorph in this dataset, the calculation gives 0 meV per atom.

Computed, not measured: a relaxed AlP2Pt crystal at the PBE level of DFT.

Cell lengths 2.710, 4.658, 4.801 Å; angles 90.00, 90.00, 90.00 degrees
Positions (direct):
P 0.000 0.000 0.000
P 0.500 0.500 0.000
Al 0.000 0.500 0.500
Pt 0.500 0.000 0.500

Output
Its energy of formation from the pure elements is 0.059 eV per atom.

Computed, not measured: a relaxed MgBeCr crystal at the PBE level of DFT.

Cell lengths 6.430, 2.937, 9.148 Å; angles 90.00, 107.90, 90.00 degrees
Last column: magnetic moment on the atom in μB.
Positions (direct):
Cr 0.641 0.000 0.953  -1.32
Cr 0.641 0.500 0.453  -1.32
Cr 0.503 0.000 0.582  1.34
Cr 0.503 0.500 0.082  1.34
Mg 0.295 0.000 0.259  0.00
Mg 0.295 0.500 0.759  0.00
Mg 0.077 0.000 0.947  -0.01
Mg 0.077 0.500 0.447  -0.01
Be 0.748 0.000 0.253  0.01
Be 0.748 0.500 0.753  0.01
Be 0.896 0.000 0.628  0.01
Be 0.896 0.500 0.128  0.01

Output
Its energy of formation from the pure elements is 0.278 eV per atom. For the energy above the most stable polymorph in this dataset, the calculation gives 174 meV per atom.

Computed, not measured: a relaxed ZrCr3B crystal at the PBE level of DFT.

Cell lengths 4.034, 4.034, 4.034 Å; angles 90.00, 90.00, 90.00 degrees
Positions (direct):
Cr 0.000 0.500 0.000
Cr 0.000 0.000 0.500
Cr 0.500 0.000 0.000
B 0.000 0.000 0.000
Zr 0.500 0.500 0.500

Output
Its energy of formation from the pure elements is 0.176 eV per atom. For the energy above the most stable polymorph in this dataset, the calculation gives 0 meV per atom.

Computed, not measured: a relaxed TiNb crystal at the PBE level of DFT.

Cell lengths 7.920, 7.920, 4.740 Å; angles 90.00, 90.00, 90.00 degrees
Positions (direct):
Ti 0.330 0.330 0.000
Ti 0.330 0.670 0.000
Ti 0.670 0.330 0.000
Ti 0.670 0.670 0.000
Ti 0.830 0.830 0.500
Ti 0.830 0.170 0.500
Ti 0.170 0.830 0.500
Ti 0.170 0.170 0.500
Nb 0.687 0.000 0.000
Nb 0.313 0.000 0.000
Nb 0.000 0.313 0.000
Nb 0.000 0.687 0.000
Nb 0.187 0.500 0.500
Nb 0.813 0.500 0.500
Nb 0.500 0.813 0.500
Nb 0.500 0.187 0.500

Output
Its energy of formation from the pure elements is 0.392 eV per atom.

Computed, not measured: a relaxed LiTh2In crystal at the PBE level of DFT.

Cell lengths 3.352, 3.352, 12.484 Å; angles 82.29, 82.29, 60.00 degrees
Positions (direct):
Li 0.000 0.000 0.000
Th 0.090 0.090 0.730
Th 0.910 0.910 0.270
In 0.500 0.500 0.500

Output
Its energy of formation from the pure elements is 0.147 eV per atom.

Computed, not measured: a relaxed Ba7Hg2Au2 crystal at the PBE level of DFT.

Cell lengths 4.498, 11.245, 11.245 Å; angles 61.04, 78.46, 78.46 degrees
Positions (direct):
Ba 0.804 0.100 0.292
Ba 0.869 0.383 0.880
Ba 0.500 0.990 0.010
Ba 0.617 0.488 0.279
Ba 0.383 0.721 0.512
Ba 0.196 0.708 0.900
Ba 0.131 0.120 0.617
Hg 0.000 0.759 0.241
Hg 0.500 0.350 0.650
Au 0.744 0.873 0.639
Au 0.256 0.361 0.127

Output
Its energy of formation from the pure elements is -0.451 eV per atom. For the energy above the most stable polymorph in this dataset, the calculation gives 0 meV per atom.

Computed, not measured: a relaxed CaReN3 crystal at the PBE level of DFT.

Cell lengths 18.384, 5.370, 7.065 Å; angles 90.00, 151.74, 90.00 degrees
Positions (direct):
Re 0.474 0.747 0.532
Re 0.526 0.253 0.468
Re 0.026 0.247 0.968
Re 0.974 0.753 0.032
Ca 0.133 0.275 0.672
Ca 0.867 0.725 0.328
Ca 0.367 0.775 0.828
Ca 0.633 0.225 0.172
N 0.346 0.963 0.115
N 0.654 0.037 0.885
N 0.154 0.463 0.385
N 0.846 0.537 0.615
N 0.376 0.437 0.296
N 0.624 0.563 0.704
N 0.124 0.937 0.204
N 0.876 0.063 0.796
N 0.495 0.803 0.826
N 0.505 0.197 0.174
N 0.005 0.303 0.674
N 0.995 0.697 0.326

Output
The calculation puts the electronic total energy at -164.8 eV/cell.

Computed, not measured: a relaxed AcPmRu2 crystal at the PBE level of DFT.

Cell lengths 3.592, 3.592, 7.141 Å; angles 90.00, 90.00, 90.00 degrees
Positions (direct):
Ru 0.000 0.000 0.758
Ru 0.000 0.000 0.242
Ac 0.500 0.500 0.500
Pm 0.500 0.500 0.000

Output
Its energy of formation from the pure elements is 0.025 eV per atom. For the energy above the most stable polymorph in this dataset, the calculation gives 12 meV per atom.

Number 1: N(E_F) 6.561 states/eV/f.u.. Number 2: N(E_F) 2.718 states/eV/f.u.. Number 3: N(E_F) 30.281 states/eV/f.u.. Number 4: N(E_F) 9.342 states/eV/f.u.. Number 5: N(E_F) 1.308 states/eV/f.u.. Number 6: N(E_F) 1.460 states/eV/f.u.. Number 7: N(E_F) 8.608 states/eV/f.u.. Number 8: N(E_F) 3.722 states/eV/f.u.. Number 9: N(E_F) 3.429 states/eV/f.u.. Number 10: N(E_F) 11.520 states/eV/f.u.. Number 11: N(E_F) 0.000 states/eV/f.u.. Number 12: N(E_F) 4.565 states/eV/f.u..